A plane-wave DFT calculation with GGA-PBE was carried out for an optimized crystal structure of BaTl6F8.

## Properties
M_tot = 0.000 μB/f.u.
formation energy (no corrections) = -2107.1 meV per atom
final energy = -4.180 eV per atom
space group = R-3 (148)

```
15
Lattice="5.3912 3.1126 3.6091 -5.3912 3.1126 3.6091 0.0000 -6.2252 3.6091" Properties=species:S:1:pos:R:3 pbc="T T T"
Ba 0.0000 0.0000 0.0000
Tl -1.0416 -2.1350 3.9522
Tl -1.3282 1.9696 3.9522
Tl -2.3698 -0.1655 6.8750
Tl 2.3698 0.1654 3.9522
Tl 1.3282 -1.9696 6.8750
Tl 1.0416 2.1350 6.8750
F -3.6181 1.0970 4.4294
F -2.7591 -2.5848 6.3977
F 0.0000 0.0000 2.6689
F 0.8590 -3.6818 4.4294
F -0.8590 3.6819 6.3977
F 0.0000 0.0000 8.1582
F 2.7591 2.5848 4.4294
F 3.6181 -1.0970 6.3977
```


A plane-wave DFT calculation with GGA-PBE was carried out for an optimized crystal structure of Ba3TlF.

## Properties
M_tot = 0.000 μB/f.u.
formation energy (no corrections) = -1216.9 meV per atom
final energy = -3.218 eV per atom
space group = Pm-3m (221)
energy above the most stable polymorph in this dataset = 0.038 eV per formula unit

```
5
Lattice="5.6380 0.0000 0.0000 0.0000 5.6380 0.0000 0.0000 0.0000 5.6380" Properties=species:S:1:pos:R:3 pbc="T T T"
Ba 0.0000 0.0000 2.8190
Ba 0.0000 2.8190 0.0000
Ba 2.8190 0.0000 0.0000
Tl 2.8190 2.8190 2.8190
F 0.0000 0.0000 0.0000
```


A plane-wave DFT calculation with GGA-PBE was carried out for an optimized crystal structure of BaTlF2.

## Properties
M_tot = 0.000 μB/f.u.
formation energy (no corrections) = -2625.2 meV per atom
final energy = -4.633 eV per atom
space group = R-3m (166)
energy above the most stable polymorph in this dataset = 0.000 eV per formula unit

```
4
Lattice="2.1212 1.2247 7.5638 -2.1212 1.2247 7.5638 0.0000 -2.4493 7.5638" Properties=species:S:1:pos:R:3 pbc="T T T"
Ba 0.0000 0.0000 0.0000
Tl 0.0000 0.0000 11.3457
F 0.0000 0.0000 8.5147
F 0.0000 0.0000 14.1767
```


A plane-wave DFT calculation with GGA-PBE was carried out for an optimized crystal structure of Ba3Tl2F8.

## Properties
M_tot = 0.000 μB/f.u.
formation energy (no corrections) = -3070.8 meV per atom
final energy = -5.030 eV per atom
space group = P2/m (10)

```
13
Lattice="8.4395 0.0000 0.0000 0.0000 4.4549 0.0000 -2.4664 0.0000 8.0721" Properties=species:S:1:pos:R:3 pbc="T T T"
Ba 0.0000 0.0000 0.0000
Ba 1.7381 2.2275 2.3490
Ba 4.2349 2.2275 5.7230
Tl 0.4899 0.0000 5.8767
Tl 5.4832 0.0000 2.1954
F -1.3413 2.2275 7.2310
F 0.2935 0.0000 2.7538
F 2.5422 0.0000 1.0827
F 1.7627 2.2275 4.9416
F 4.2103 2.2275 3.1305
F 3.4308 0.0000 6.9893
F 5.6796 0.0000 5.3183
F 7.3143 2.2275 0.8410
```


A plane-wave DFT calculation with GGA-PBE was carried out for an optimized crystal structure of BaTl2F8.

## Properties
M_tot = 0.000 μB/f.u.
formation energy (no corrections) = -2338.7 meV per atom
final energy = -4.305 eV per atom
space group = P4/mmm (123)

```
11
Lattice="5.4360 0.0000 0.0000 0.0000 5.4360 0.0000 0.0000 0.0000 6.4144" Properties=species:S:1:pos:R:3 pbc="T T T"
Ba 0.0000 0.0000 0.0000
Tl 0.0000 2.7180 3.2072
Tl 2.7180 0.0000 3.2072
F 1.3474 1.3474 1.9013
F 1.3474 1.3474 4.5131
F 1.3474 4.0886 1.9013
F 1.3474 4.0886 4.5131
F 4.0886 1.3474 1.9013
F 4.0886 1.3474 4.5131
F 4.0886 4.0886 1.9013
F 4.0886 4.0886 4.5131
```


A plane-wave DFT calculation with GGA-PBE was carried out for an optimized crystal structure of Ba3TlF.

## Properties
M_tot = 0.527 μB/f.u.
formation energy (no corrections) = -1224.5 meV per atom
final energy = -3.226 eV per atom
space group = P2_1/m (11)
energy above the most stable polymorph in this dataset = 0.000 eV per formula unit

```
10
Lattice="8.8777 0.0000 0.0000 0.0000 4.4520 0.0000 -1.2736 0.0000 10.7118" Properties=species:S:1:pos:R:3 pbc="T T T"
Ba 0.1304 1.1130 3.6605
Ba 1.0800 1.1130 10.5274
Ba 2.6321 3.3390 6.8034
Ba 4.9719 1.1130 3.9083
Ba 6.5241 3.3390 0.1844
Ba 7.4736 3.3390 7.0513
Tl 2.7004 3.3390 2.5310
Tl 4.9037 1.1130 8.1808
F 0.0672 1.1130 6.3093
F 7.5369 3.3390 4.4025
```


A plane-wave DFT calculation with GGA-PBE was carried out for an optimized crystal structure of BaTlF5.

## Properties
M_tot = 0.109 μB/f.u.
formation energy (no corrections) = -2709.5 meV per atom
final energy = -4.659 eV per atom
space group = C2/c (15)

```
14
Lattice="3.5834 -3.8923 0.0000 3.5834 3.8923 0.0000 -0.8691 0.0000 8.4925" Properties=species:S:1:pos:R:3 pbc="T T T"
Ba 2.9316 3.8012 6.3694
Ba 3.3661 -3.8012 2.1231
Tl 3.5834 0.0000 0.0000
Tl 3.1488 0.0000 4.2463
F 1.4699 0.5781 0.1272
F 2.2961 1.6052 3.1085
F 1.0354 -0.5781 4.3734
F 2.9316 1.0044 6.3694
F 4.4361 1.6052 1.1377
F 1.8616 -1.6052 7.3548
F 3.3661 -1.0044 2.1231
F 5.2623 0.5781 4.1191
F 4.0016 -1.6052 5.3840
F 4.8277 -0.5781 8.3653
```


A plane-wave DFT calculation with GGA-PBE was carried out for an optimized crystal structure of BaTl2F.

## Properties
M_tot = 0.000 μB/f.u.
formation energy (no corrections) = -1240.3 meV per atom
final energy = -3.372 eV per atom
space group = I-42d (122)
energy above the most stable polymorph in this dataset = 0.000 eV per formula unit

```
8
Lattice="-2.1045 2.1045 14.2861 2.1045 -2.1045 14.2861 2.1045 2.1045 -14.2861" Properties=species:S:1:pos:R:3 pbc="T T T"
Ba 0.0000 0.0000 0.0000
Ba 0.0000 2.1045 7.1430
Tl 1.0522 -1.0490 10.7145
Tl 1.0555 1.0522 3.5715
Tl 1.0522 3.1535 -3.5715
Tl 1.0490 1.0522 17.8576
F 2.1045 0.0000 7.1430
F 0.0000 0.0000 14.2861
```


Question: The lowest final energy belongs to which entry?
Answer: Ba3Tl2F8


Question: Which of these has the lowest final energy?
Answer: Ba3Tl2F8